# PmEu2Er

Crystalline PmEu2Er at its relaxed geometry (PBE, Alexandria).

POSCAR file:
```
PmEu2Er
1.0
-2.643 -0.254 -2.535
2.352 -1.649 -2.286
-2.836 -9.454 3.903
Pm Eu Er
1 2 1
direct
0.500 0.500 0.500
0.000 0.000 0.245
0.000 0.000 0.755
0.500 0.500 0.000
```

Results
E_form (meV/atom): 111
Crystal system: tetragonal
Relative energy among the computed polymorphs (meV/atom): 0
Space-group type: P4/mmm
DOS(E_F) (states/eV per cell): 4.3

# AcLaPr2Bi4

Crystalline AcLaPr2Bi4 at its relaxed geometry (PBE, Alexandria).

POSCAR file:
```
AcLaPr2Bi4
1.0
-3.218 -3.108 1.511
4.475 -1.375 6.702
-2.254 5.197 5.890
Bi La Ac Pr
4 1 1 2
direct
0.000 0.241 0.258
0.500 0.244 0.747
0.500 0.756 0.253
0.000 0.759 0.742
0.000 0.500 0.500
0.500 0.500 0.000
0.000 0.000 0.000
0.500 0.000 0.500
```

Results
E_form (meV/atom): -988
Crystal system: monoclinic
Space-group type: P2/m
DOS(E_F) (states/eV per cell): 1.0

# Na2In5Hg4

Crystalline Na2In5Hg4 at its relaxed geometry (PBE, Alexandria).

POSCAR file:
```
Na2In5Hg4
1.0
-3.845 -0.951 4.858
1.292 -4.432 4.199
3.120 5.972 7.682
Na In Hg
2 5 4
direct
0.895 0.000 0.210
0.105 0.000 0.790
0.750 0.500 0.500
0.500 0.500 0.000
0.500 0.000 0.000
0.250 0.500 0.500
0.000 0.500 0.000
0.494 0.282 0.729
0.506 0.718 0.271
0.777 0.718 0.729
0.223 0.282 0.271
```

Results
E_form (meV/atom): -18
Crystal system: orthorhombic
Relative energy among the computed polymorphs (meV/atom): 68
Space-group type: Fmmm
DOS(E_F) (states/eV per cell): 5.2